(1)
The following is a DFT calculation (GGA-PBE) of an optimized crystal structure of HoAl3Zn.

Properties
**E_tot**: -3.738 eV/atom
**SG**: Cm, No. 8
**D(E_F)**: 2.05 states/eV per cell

a b c (Å): 4.1297 4.1298 6.2712
angles (deg): 70.90 70.90 89.93
Closest atoms and distances in Å follow each position.
Element x y z (fractional)
1 Al 0.6475 0.9522 0.4092  2 Zn 2.56, 2 Al 2.64
2 Al 0.7957 0.5993 0.1133  1 Zn 2.40, 4 Al 2.64
3 Al 0.1486 0.4509 0.4092  2 Zn 2.56, 2 Al 2.64
4 Ho 0.4034 0.2069 0.8986  12 Al 3.15-3.52, 4 Zn 3.16-3.17
5 Zn 0.0125 0.8159 0.6809  5 Al 2.40-2.56

---

(2)
The following is a DFT calculation (GGA-PBE) of an optimized crystal structure of Ho2AlZn3.

Properties
**E_tot**: -3.121 eV/atom
**SG**: Imm2, No. 44
**D(E_F)**: 3.51 states/eV per cell

a b c (Å): 3.7299 4.3352 8.2869
angles (deg): 105.16 103.01 90.00
Closest atoms and distances in Å follow each position.
Element x y z (fractional)
1 Al 0.4610 0.9610 0.9221  3 Zn 2.49-2.52
2 Zn 0.5401 0.5401 0.0802  1 Zn 2.48, 2 Al 2.49
3 Zn 0.6994 0.6994 0.3989  3 Zn 2.42-2.48
4 Zn 0.2989 0.7989 0.5977  2 Zn 2.42, 1 Al 2.52
5 Ho 0.1280 0.1280 0.2561  10 Zn 3.07-3.43, 2 Al 3.20
6 Ho 0.8725 0.3725 0.7451  6 Zn 3.08-3.20, 4 Al 3.17

---

(3)
The following is a DFT calculation (GGA-PBE) of an optimized crystal structure of HoAl2Zn2.

Properties
**E_tot**: -3.050 eV/atom
**SG**: P4/mbm, No. 127
**D(E_F)**: 3.35 states/eV per cell

a b c (Å): 2.9578 7.8422 7.8422
angles (deg): 90.00 90.00 90.00
Closest atoms and distances in Å follow each position.
Element x y z (fractional)
1 Al 0.0000 0.1273 0.6273  6 Zn 2.71-2.77, 3 Al 2.82-2.96
2 Al 0.0000 0.6273 0.8727  6 Zn 2.71-2.77, 3 Al 2.82-2.96
3 Al 0.0000 0.3727 0.1273  6 Zn 2.71-2.77, 3 Al 2.82-2.96
4 Al 0.0000 0.8727 0.3727  6 Zn 2.71-2.77, 3 Al 2.82-2.96
5 Zn 0.5000 0.1684 0.3316  6 Al 2.71-2.77, 2 Zn 2.96
6 Zn 0.5000 0.6684 0.1684  6 Al 2.71-2.77, 2 Zn 2.96
7 Zn 0.5000 0.8316 0.6684  6 Al 2.71-2.77, 2 Zn 2.96
8 Zn 0.5000 0.3316 0.8316  6 Al 2.71-2.77, 2 Zn 2.96
9 Ho 0.0000 0.5000 0.5000  2 Ho 2.96, 4 Al 3.09, 8 Zn 3.27
10 Ho 0.0000 0.0000 0.0000  2 Ho 2.96, 4 Al 3.09, 8 Zn 3.27

---

(4)
The following is a DFT calculation (GGA-PBE) of an optimized crystal structure of Ho3AlZn.

Properties
**E_tot**: -4.040 eV/atom
**SG**: Cmcm, No. 63
**D(E_F)**: 7.99 states/eV per cell

a b c (Å): 5.0231 5.0231 10.1767
angles (deg): 90.00 75.71 90.00
Closest atoms and distances in Å follow each position.
Element x y z (fractional)
1 Ho 0.5743 0.2500 0.4997  4 Zn 3.08, 4 Al 3.08
2 Ho 0.2561 0.7500 0.1361  2 Al 3.09, 2 Zn 3.10
3 Ho 0.7573 0.2500 0.1338  2 Al 3.11, 2 Zn 3.11
4 Ho 0.8911 0.7500 0.8662  2 Al 3.11, 2 Zn 3.11
5 Ho 0.0740 0.7500 0.5003  4 Zn 3.08, 4 Al 3.08
6 Ho 0.3922 0.2500 0.8639  2 Al 3.09, 2 Zn 3.10
7 Zn 0.4840 0.7500 0.6804  8 Ho 3.08-3.11
8 Zn 0.1644 0.2500 0.3196  8 Ho 3.08-3.11
9 Al 0.6646 0.7500 0.3191  8 Ho 3.08-3.11
10 Al 0.9837 0.2500 0.6809  8 Ho 3.08-3.11

---

(5)
The following is a DFT calculation (GGA-PBE) of an optimized crystal structure of HoAlZn.

Properties
**E_tot**: -2.893 eV/atom
**SG**: P4/mmm, No. 123
**D(E_F)**: 3.13 states/eV per cell

a b c (Å): 4.1320 4.1320 4.7736
angles (deg): 90.00 90.00 90.00
Closest atoms and distances in Å follow each position.
Element x y z (fractional)
1 Zn 0.5000 0.5000 0.5000  2 Al 2.39
2 Al 0.5000 0.5000 0.0000  2 Zn 2.39
3 Ho 0.0000 0.0000 0.0000  4 Al 2.92

---

(6)
The following is a DFT calculation (GGA-PBE) of an optimized crystal structure of HoAl2Zn.

Properties
**E_tot**: -3.702 eV/atom
**SG**: P4/mmm, No. 123
**D(E_F)**: 1.81 states/eV per cell

a b c (Å): 4.2540 4.2340 4.2340
angles (deg): 90.00 90.00 90.00
Closest atoms and distances in Å follow each position.
Element x y z (fractional)
1 Zn 0.5000 0.0000 0.0000  4 Ho 2.99, 8 Al 3.00
2 Al 0.0000 0.0000 0.5000  4 Al 2.99, 4 Zn 3.00, 4 Ho 3.00
3 Al 0.0000 0.5000 0.0000  4 Al 2.99, 4 Ho 3.00, 4 Zn 3.00
4 Ho 0.5000 0.5000 0.5000  4 Zn 2.99, 8 Al 3.00

---

(7)
The following is a DFT calculation (GGA-PBE) of an optimized crystal structure of Ho2AlZn3.

Properties
**E_tot**: -3.199 eV/atom
**SG**: Fmmm, No. 69
**D(E_F)**: 8.31 states/eV per cell

a b c (Å): 5.6976 5.6976 8.4976
angles (deg): 104.98 104.98 103.22
Closest atoms and distances in Å follow each position.
Element x y z (fractional)
1 Al 0.6657 0.6657 0.3314  3 Zn 2.57-2.59
2 Al 0.3343 0.3343 0.6686  3 Zn 2.57-2.59
3 Ho 0.2500 0.7500 0.5000  8 Zn 3.13, 4 Al 3.13
4 Ho 0.7561 0.7561 0.0000  10 Zn 3.10-3.14, 2 Al 3.14, 1 Ho 3.45
5 Ho 0.7500 0.2500 0.5000  8 Zn 3.13, 4 Al 3.13
6 Ho 0.2439 0.2439 0.0000  10 Zn 3.10-3.14, 2 Al 3.14, 1 Ho 3.45
7 Zn 0.3337 0.8321 0.1658  2 Zn 2.56-2.59, 1 Al 2.57
8 Zn 0.6663 0.1679 0.8342  2 Zn 2.56-2.59, 1 Al 2.57
9 Zn 0.1664 0.1664 0.3328  2 Zn 2.59, 1 Al 2.59
10 Zn 0.8336 0.8336 0.6672  2 Zn 2.59, 1 Al 2.59
11 Zn 0.8321 0.3337 0.1658  2 Zn 2.56-2.59, 1 Al 2.57
12 Zn 0.1679 0.6663 0.8342  2 Zn 2.56-2.59, 1 Al 2.57

---

(8)
The following is a DFT calculation (GGA-PBE) of an optimized crystal structure of Ho6AlZn2.

Properties
**E_tot**: -3.977 eV/atom
**SG**: Immm, No. 71
**D(E_F)**: 18.69 states/eV per cell

a b c (Å): 8.4822 8.4822 8.4822
angles (deg): 108.50 110.84 109.09
Closest atoms and distances in Å follow each position.
Element x y z (fractional)
1 Ho 0.9139 0.7338 0.1801  1 Al 3.14, 3 Zn 3.14-3.16, 1 Ho 3.47
2 Ho 0.7982 0.7549 0.5532  2 Zn 2.89-3.14, 2 Al 3.11-3.19
3 Ho 0.0861 0.2662 0.8199  1 Al 3.14, 3 Zn 3.14-3.16, 1 Ho 3.47
4 Ho 0.7982 0.2451 0.0433  2 Zn 2.89-3.14, 2 Al 3.11-3.19
5 Ho 0.4462 0.2662 0.1801  1 Al 3.14, 3 Zn 3.14-3.16, 1 Ho 3.47
6 Ho 0.2018 0.2451 0.4468  2 Zn 2.89-3.14, 2 Al 3.11-3.19
7 Ho 0.5538 0.7338 0.8199  1 Al 3.14, 3 Zn 3.14-3.16, 1 Ho 3.47
8 Ho 0.7207 0.0415 0.3207  3 Zn 2.90-3.10
9 Ho 0.2793 0.6000 0.3207  3 Zn 2.90-3.10
10 Ho 0.2018 0.7549 0.9567  2 Zn 2.89-3.14, 2 Al 3.11-3.19
11 Ho 0.7207 0.4000 0.6793  3 Zn 2.90-3.10
12 Ho 0.2793 0.9585 0.6793  3 Zn 2.90-3.10
13 Zn 0.5000 0.6268 0.1268  1 Zn 2.51
14 Zn 0.6364 0.0000 0.6364  1 Zn 2.63, 2 Ho 2.89
15 Zn 0.3636 0.0000 0.3636  1 Zn 2.63, 2 Ho 2.89
16 Zn 0.5000 0.3732 0.8732  1 Zn 2.51
17 Al 0.0000 0.5000 0.5000  8 Ho 3.19-3.27
18 Al 0.0000 0.0000 0.0000  8 Ho 3.11-3.14

---

Number 1: E_form -0.32 eV/atom. Number 2: E_form -0.33 eV/atom. Number 3: E_form -0.13 eV/atom. Number 4: E_form -0.29 eV/atom. Number 5: E_form 0.30 eV/atom. Number 6: E_form -0.37 eV/atom. Number 7: E_form -0.41 eV/atom. Number 8: E_form -0.23 eV/atom.